Crystalline YZrTlCu at its relaxed geometry. Source: Alexandria, functional PBE. Values from VASP.

```
&SYSTEM
  ibrav = 0, nat = 4, ntyp = 4
/
ATOMIC_SPECIES
Y 88.91 Y.upf
Cu 63.55 Cu.upf
Tl 204.38 Tl.upf
Zr 91.22 Zr.upf
CELL_PARAMETERS angstrom
5.030 0.000 0.000
2.515 4.357 0.000
2.515 1.452 4.107
ATOMIC_POSITIONS crystal
Y 0.750 0.750 0.750
Cu 0.000 0.000 0.000
Tl 0.500 0.500 0.500
Zr 0.250 0.250 0.250
```

## Properties
E_tot = -21.80 eV per formula unit
crystal system = cubic
space group = F-43m (216)